Below is a relaxed Al4VOs crystal, with properties calculated at the PBE level.

Structure (POSCAR):
```
Al4VOs
1.0
4.994 0.000 -1.245
0.000 7.302 0.000
-1.549 0.000 5.431
Al V Os
8 2 2
direct
0.767 0.816 0.246
0.733 0.316 0.754
0.267 0.315 0.246
0.233 0.815 0.754
0.233 0.184 0.754
0.267 0.684 0.246
0.733 0.685 0.754
0.767 0.185 0.246
0.500 0.000 0.500
0.000 0.500 0.500
0.000 0.000 0.000
0.500 0.500 0.000
```

Computed properties:
- DOS at the Fermi energy (states/eV/f.u.) = 4.21
- energy relative to the elements (eV/atom) = -0.0829